[1]
Entry from the Open Quantum Materials Database: crystalline Y4CdAsC2 at its relaxed geometry (PBE).

## Properties
DFT total energy ... -54.0 eV per formula unit
Space-group type ... P-6m2
Size of the total moment ... 1.1 μB per cell

a = 3.671 Å, b = 3.671 Å, c = 14.889 Å
α = 90.00°, β = 90.00°, γ = 120.00°
Atoms (fractional coordinates):
Y (0.333, 0.667, 0.638)
Y (0.000, 0.000, 0.819)
Y (0.333, 0.667, 0.362)
Y (0.000, 0.000, 0.181)
As (0.000, 0.000, 0.500)
C (0.667, 0.333, 0.266)
C (0.667, 0.333, 0.734)
Cd (0.333, 0.667, 0.000)

***

[2]
Entry from the Open Quantum Materials Database: crystalline Zr4Cd2AsC at its relaxed geometry (PBE).

## Properties
DFT total energy ... -53.6 eV per formula unit
Space-group type ... P-3m1
Size of the total moment ... 0.0 μB per cell

a = 3.494 Å, b = 3.494 Å, c = 15.561 Å
α = 90.00°, β = 90.00°, γ = 120.00°
Atoms (fractional coordinates):
Zr (0.333, 0.667, 0.393)
Zr (0.333, 0.667, 0.077)
Zr (0.667, 0.333, 0.923)
Zr (0.667, 0.333, 0.607)
Cd (0.333, 0.667, 0.762)
Cd (0.667, 0.333, 0.238)
As (0.000, 0.000, 0.500)
C (0.000, 0.000, 0.000)